Here is crystalline AgBiPd3 at its relaxed geometry from Alexandria. Energies are from GGA-PBE.

Cell lengths 4.7191, 5.1531, 7.7434 Å; angles 71.25, 89.87, 89.93 degrees
Atoms (fractional coordinates):
Ag 0.2501 0.1319 0.4123
Ag 0.7499 0.8681 0.5877
Bi 0.2499 0.7331 0.1973
Bi 0.7501 0.2669 0.8027
Pd 0.2501 0.3350 0.0050
Pd 0.2500 0.5323 0.6032
Pd 0.2498 0.9252 0.7991
Pd 0.7502 0.0748 0.2009
Pd 0.7500 0.4677 0.3968
Pd 0.7499 0.6650 0.9950

Formation enthalpy at 0 K   -177.9 meV per atom
Energy above the most stable polymorph in this dataset   0 meV per atom
Crystal system   triclinic

Here is crystalline HoPaCdO6 at its relaxed geometry from Alexandria. Energies are from GGA-PBE.

Cell lengths 5.6666, 5.6666, 4.8461 Å; angles 90.00, 90.00, 120.00 degrees
Atoms (fractional coordinates):
Ho 0.0000 0.0000 0.0000
Pa 0.3333 0.6667 0.5000
Cd 0.6667 0.3333 0.0000
O 0.0190 0.3480 0.2474
O 0.0190 0.6710 0.7526
O 0.3290 0.3480 0.7526
O 0.3290 0.9810 0.2474
O 0.6520 0.6710 0.2474
O 0.6520 0.9810 0.7526

Formation energy without anion corrections   -2057 kJ/mol of formula units
Crystal system   trigonal

Here is crystalline Na4HI2 at its relaxed geometry from Alexandria. Energies are from GGA-PBE.

Cell lengths 11.2589, 11.2589, 11.2589 Å; angles 156.80, 156.80, 33.04 degrees
Atoms (fractional coordinates):
Na 0.0000 0.5000 0.5000
Na 0.1789 0.1789 0.0000
Na 0.5000 0.0000 0.5000
Na 0.8211 0.8211 0.0000
H 0.0000 0.0000 0.0000
I 0.3904 0.3904 0.0000
I 0.6096 0.6096 0.0000

Electronic total energy   -2.32 eV/atom
Crystal system   tetragonal

Here is crystalline TaTcGeBr2 at its relaxed geometry from Alexandria. Energies are from GGA-PBE.

Cell lengths 5.0760, 5.0760, 5.0936 Å; angles 90.00, 90.00, 90.00 degrees
Atoms (fractional coordinates):
Ta 0.0000 0.0000 0.0000
Tc 0.5000 0.5000 0.0000
Ge 0.5000 0.5000 0.5000
Br 0.0000 0.5000 0.5000
Br 0.5000 0.0000 0.5000

Formation energy without anion corrections   785 kJ/mol of formula units
Crystal system   tetragonal